Below is a relaxed structure of Zr3Sc, with properties calculated at the GGA-PBE level.

Values from the calculation:
ΔH_f (0 K) = 7.31 eV/f.u.
Theoretical density = 3.90 g/cm³
Energy relative to the lowest polymorph listed for this composition = 1858 meV per atom

a = 5.140 Å, b = 5.140 Å, c = 5.140 Å
α = 90.00°, β = 90.00°, γ = 90.00°
Sites, in units of the cell vectors:
Sc  0.000  0.000  0.000
Zr  0.500  0.000  0.000
Zr  0.000  0.500  0.000
Zr  0.000  0.000  0.500

***

Below is a relaxed structure of Zr3Sc5, with properties calculated at the GGA-PBE level.

Values from the calculation:
ΔH_f (0 K) = 0.15 eV/f.u.
Theoretical density = 4.39 g/cm³
Energy relative to the lowest polymorph listed for this composition = 27 meV per atom

a = 6.451 Å, b = 6.451 Å, c = 4.535 Å
α = 90.00°, β = 90.00°, γ = 90.23°
Sites, in units of the cell vectors:
Sc  0.000  0.000  0.000
Sc  0.000  0.500  0.000
Sc  0.500  0.000  0.000
Sc  0.748  0.252  0.500
Sc  0.252  0.748  0.500
Zr  0.500  0.500  0.000
Zr  0.258  0.258  0.500
Zr  0.742  0.742  0.500

***

Below is a relaxed structure of ZrSc7, with properties calculated at the GGA-PBE level.

Values from the calculation:
ΔH_f (0 K) = 0.31 eV/f.u.
Theoretical density = 3.51 g/cm³
Energy relative to the lowest polymorph listed for this composition = 0 meV per atom

a = 6.477 Å, b = 6.477 Å, c = 6.477 Å
α = 60.00°, β = 60.00°, γ = 60.00°
Sites, in units of the cell vectors:
Sc  0.000  0.500  0.000
Sc  0.000  0.500  0.500
Sc  0.500  0.500  0.000
Sc  0.500  0.000  0.500
Sc  0.500  0.000  0.000
Sc  0.000  0.000  0.500
Sc  0.500  0.500  0.500
Zr  0.000  0.000  0.000

***

Below is a relaxed structure of ZrSc2, with properties calculated at the GGA-PBE level.

Values from the calculation:
ΔH_f (0 K) = 0.31 eV/f.u.
Theoretical density = 4.06 g/cm³

a = 15.059 Å, b = 15.059 Å, c = 15.059 Å
α = 167.98°, β = 167.98°, γ = 17.03°
Sites, in units of the cell vectors:
Zr  0.000  0.000  0.000
Zr  0.750  0.250  0.500
Sc  0.326  0.826  0.500
Sc  0.174  0.674  0.500
Sc  0.576  0.576  0.000
Sc  0.424  0.424  0.000

***

Which of these has the lowest theoretical density?
ZrSc7